1.
Crystalline ScSb2TeN at its relaxed geometry. Source: the Alexandria database, functional PBE-GGA.

```
data_ScSb2TeN
_chemical_formula_sum 'Sc1 Sb2 Te1 N1'
_cell_length_a 5.514
_cell_length_b 5.514
_cell_length_c 5.484
_cell_angle_alpha 90.00
_cell_angle_beta 90.00
_cell_angle_gamma 90.00
_space_group_name_H-M_alt 'P 1'
_space_group_IT_number 1
loop_
_space_group_symop_operation_xyz
'x,y,z'
loop_
_atom_site_label
_atom_site_type_symbol
_atom_site_fract_x
_atom_site_fract_y
_atom_site_fract_z
Sc1 Sc 0.000 0.000 0.000
Sb1 Sb 0.000 0.500 0.000
Sb2 Sb 0.500 0.000 0.000
Te1 Te 0.000 0.000 0.500
N1 N 0.500 0.500 0.500
```

Properties
total energy	-4.163	eV per atom
magnetic moment	2.40	μB/f.u.
excess energy over the best structure of this formula in the dataset	852	meV/atom
crystal system	tetragonal

***

2.
Crystalline Th2ScSbN5 at its relaxed geometry. Source: the Alexandria database, functional PBE-GGA.

```
data_Th2ScSbN5
_chemical_formula_sum 'Th4 Sc2 Sb2 N10'
_cell_length_a 7.190
_cell_length_b 7.190
_cell_length_c 10.504
_cell_angle_alpha 90.00
_cell_angle_beta 90.00
_cell_angle_gamma 151.59
_space_group_name_H-M_alt 'P 1'
_space_group_IT_number 1
loop_
_space_group_symop_operation_xyz
'x,y,z'
loop_
_atom_site_label
_atom_site_type_symbol
_atom_site_fract_x
_atom_site_fract_y
_atom_site_fract_z
Th1 Th 0.120 0.880 0.500
Th2 Th 0.145 0.855 0.094
Th3 Th 0.855 0.145 0.594
Th4 Th 0.880 0.120 0.000
Sc1 Sc 0.218 0.782 0.810
Sc2 Sc 0.782 0.218 0.310
Sb1 Sb 0.474 0.526 0.275
Sb2 Sb 0.526 0.474 0.775
N1 N 0.057 0.943 0.869
N2 N 0.282 0.718 0.463
N3 N 0.310 0.690 0.173
N4 N 0.371 0.629 0.812
N5 N 0.493 0.507 0.585
N6 N 0.507 0.493 0.085
N7 N 0.629 0.371 0.312
N8 N 0.690 0.310 0.673
N9 N 0.718 0.282 0.963
N10 N 0.943 0.057 0.369
```

Properties
total energy	-8.429	eV per atom
magnetic moment	0.00	μB/f.u.
crystal system	orthorhombic

***

3.
Crystalline ThScSb2N at its relaxed geometry. Source: the Alexandria database, functional PBE-GGA.

```
data_ThScSb2N
_chemical_formula_sum 'Th2 Sc2 Sb4 N2'
_cell_length_a 4.078
_cell_length_b 4.078
_cell_length_c 14.432
_cell_angle_alpha 90.00
_cell_angle_beta 90.00
_cell_angle_gamma 90.00
_space_group_name_H-M_alt 'P 1'
_space_group_IT_number 1
loop_
_space_group_symop_operation_xyz
'x,y,z'
loop_
_atom_site_label
_atom_site_type_symbol
_atom_site_fract_x
_atom_site_fract_y
_atom_site_fract_z
Th1 Th 0.250 0.250 0.080
Th2 Th 0.750 0.750 0.920
Sc1 Sc 0.250 0.250 0.567
Sc2 Sc 0.750 0.750 0.433
Sb1 Sb 0.250 0.250 0.366
Sb2 Sb 0.250 0.250 0.767
Sb3 Sb 0.750 0.750 0.233
Sb4 Sb 0.750 0.750 0.634
N1 N 0.250 0.750 0.000
N2 N 0.750 0.250 0.000
```

Properties
total energy	-7.057	eV per atom
magnetic moment	0.00	μB/f.u.
crystal system	tetragonal

***

4.
Crystalline Y2ScSbN at its relaxed geometry. Source: the Alexandria database, functional PBE-GGA.

```
data_Y2ScSbN
_chemical_formula_sum 'Y2 Sc1 Sb1 N1'
_cell_length_a 4.878
_cell_length_b 4.878
_cell_length_c 4.370
_cell_angle_alpha 90.00
_cell_angle_beta 90.00
_cell_angle_gamma 90.00
_space_group_name_H-M_alt 'P 1'
_space_group_IT_number 1
loop_
_space_group_symop_operation_xyz
'x,y,z'
loop_
_atom_site_label
_atom_site_type_symbol
_atom_site_fract_x
_atom_site_fract_y
_atom_site_fract_z
Y1 Y 0.000 0.500 0.000
Y2 Y 0.500 0.000 0.000
Sc1 Sc 0.000 0.000 0.500
Sb1 Sb 0.500 0.500 0.500
N1 N 0.000 0.000 0.000
```

Properties
total energy	-7.423	eV per atom
magnetic moment	0.00	μB/f.u.
crystal system	tetragonal

***

5.
Crystalline Zr2ScSbN at its relaxed geometry. Source: the Alexandria database, functional PBE-GGA.

```
data_Zr2ScSbN
_chemical_formula_sum 'Zr2 Sc1 Sb1 N1'
_cell_length_a 5.530
_cell_length_b 5.530
_cell_length_c 4.103
_cell_angle_alpha 90.00
_cell_angle_beta 90.00
_cell_angle_gamma 90.00
_space_group_name_H-M_alt 'P 1'
_space_group_IT_number 1
loop_
_space_group_symop_operation_xyz
'x,y,z'
loop_
_atom_site_label
_atom_site_type_symbol
_atom_site_fract_x
_atom_site_fract_y
_atom_site_fract_z
Zr1 Zr 0.000 0.500 0.000
Zr2 Zr 0.500 0.000 0.000
Sc1 Sc 0.000 0.000 0.500
Sb1 Sb 0.500 0.500 0.000
N1 N 0.500 0.500 0.500
```

Properties
total energy	-6.129	eV per atom
magnetic moment	1.13	μB/f.u.
excess energy over the best structure of this formula in the dataset	1959	meV/atom
crystal system	tetragonal

***

6.
Crystalline Zr2ScSbN at its relaxed geometry. Source: the Alexandria database, functional PBE-GGA.

```
data_Zr2ScSbN
_chemical_formula_sum 'Zr2 Sc1 Sb1 N1'
_cell_length_a 4.566
_cell_length_b 4.566
_cell_length_c 4.383
_cell_angle_alpha 90.00
_cell_angle_beta 90.00
_cell_angle_gamma 90.00
_space_group_name_H-M_alt 'P 1'
_space_group_IT_number 1
loop_
_space_group_symop_operation_xyz
'x,y,z'
loop_
_atom_site_label
_atom_site_type_symbol
_atom_site_fract_x
_atom_site_fract_y
_atom_site_fract_z
Zr1 Zr 0.000 0.500 0.000
Zr2 Zr 0.500 0.000 0.000
Sc1 Sc 0.000 0.000 0.500
Sb1 Sb 0.500 0.500 0.500
N1 N 0.000 0.000 0.000
```

Properties
total energy	-8.089	eV per atom
magnetic moment	0.00	μB/f.u.
excess energy over the best structure of this formula in the dataset	0	meV/atom
crystal system	tetragonal

***

7.
Crystalline Sb2SeN at its relaxed geometry. Source: the Alexandria database, functional PBE-GGA.

```
data_Sb2SeN
_chemical_formula_sum 'Sb4 Se2 N2'
_cell_length_a 7.153
_cell_length_b 7.153
_cell_length_c 7.153
_cell_angle_alpha 130.17
_cell_angle_beta 130.17
_cell_angle_gamma 73.14
_space_group_name_H-M_alt 'P 1'
_space_group_IT_number 1
loop_
_space_group_symop_operation_xyz
'x,y,z'
loop_
_atom_site_label
_atom_site_type_symbol
_atom_site_fract_x
_atom_site_fract_y
_atom_site_fract_z
Sb1 Sb 0.034 0.625 0.909
Sb2 Sb 0.375 0.284 0.409
Sb3 Sb 0.716 0.125 0.091
Sb4 Sb 0.875 0.966 0.591
Se1 Se 0.250 0.750 0.500
Se2 Se 0.500 0.500 0.000
N1 N 0.000 0.000 0.000
N2 N 0.750 0.250 0.500
```

Properties
total energy	-4.514	eV per atom
magnetic moment	0.00	μB/f.u.
excess energy over the best structure of this formula in the dataset	0	meV/atom
crystal system	tetragonal

***

8.
Crystalline SbSeN at its relaxed geometry. Source: the Alexandria database, functional PBE-GGA.

```
data_SbSeN
_chemical_formula_sum 'Sb4 Se4 N4'
_cell_length_a 9.803
_cell_length_b 5.083
_cell_length_c 9.100
_cell_angle_alpha 90.00
_cell_angle_beta 98.77
_cell_angle_gamma 90.00
_space_group_name_H-M_alt 'P 1'
_space_group_IT_number 1
loop_
_space_group_symop_operation_xyz
'x,y,z'
loop_
_atom_site_label
_atom_site_type_symbol
_atom_site_fract_x
_atom_site_fract_y
_atom_site_fract_z
Sb1 Sb 0.084 0.172 0.418
Sb2 Sb 0.084 0.328 0.918
Sb3 Sb 0.916 0.672 0.082
Sb4 Sb 0.916 0.828 0.582
Se1 Se 0.152 0.686 0.727
Se2 Se 0.152 0.814 0.227
Se3 Se 0.848 0.186 0.773
Se4 Se 0.848 0.314 0.273
N1 N 0.484 0.096 0.021
N2 N 0.484 0.404 0.521
N3 N 0.516 0.596 0.479
N4 N 0.516 0.904 0.979
```

Properties
total energy	-5.403	eV per atom
magnetic moment	0.00	μB/f.u.
excess energy over the best structure of this formula in the dataset	0	meV/atom
crystal system	monoclinic

***

9.
Crystalline SbSe2N at its relaxed geometry. Source: the Alexandria database, functional PBE-GGA.

```
data_SbSe2N
_chemical_formula_sum 'Sb1 Se2 N1'
_cell_length_a 8.773
_cell_length_b 8.773
_cell_length_c 8.773
_cell_angle_alpha 21.70
_cell_angle_beta 21.70
_cell_angle_gamma 21.70
_space_group_name_H-M_alt 'P 1'
_space_group_IT_number 1
loop_
_space_group_symop_operation_xyz
'x,y,z'
loop_
_atom_site_label
_atom_site_type_symbol
_atom_site_fract_x
_atom_site_fract_y
_atom_site_fract_z
Sb1 Sb 0.000 0.000 0.000
Se1 Se 0.112 0.112 0.112
Se2 Se 0.888 0.888 0.888
N1 N 0.500 0.500 0.500
```

Properties
total energy	-3.820	eV per atom
magnetic moment	0.00	μB/f.u.
excess energy over the best structure of this formula in the dataset	466	meV/atom
crystal system	trigonal

***

10.
Crystalline SbSe2N at its relaxed geometry. Source: the Alexandria database, functional PBE-GGA.

```
data_SbSe2N
_chemical_formula_sum 'Sb1 Se2 N1'
_cell_length_a 4.798
_cell_length_b 4.798
_cell_length_c 4.798
_cell_angle_alpha 60.00
_cell_angle_beta 60.00
_cell_angle_gamma 60.00
_space_group_name_H-M_alt 'P 1'
_space_group_IT_number 1
loop_
_space_group_symop_operation_xyz
'x,y,z'
loop_
_atom_site_label
_atom_site_type_symbol
_atom_site_fract_x
_atom_site_fract_y
_atom_site_fract_z
Sb1 Sb 0.000 0.000 0.000
Se1 Se 0.250 0.250 0.250
Se2 Se 0.750 0.750 0.750
N1 N 0.500 0.500 0.500
```

Properties
total energy	-3.564	eV per atom
magnetic moment	1.62	μB/f.u.
excess energy over the best structure of this formula in the dataset	723	meV/atom
crystal system	cubic

***

11.
Crystalline Sb2SeN2 at its relaxed geometry. Source: the Alexandria database, functional PBE-GGA.

```
data_Sb2SeN2
_chemical_formula_sum 'Sb2 Se1 N2'
_cell_length_a 3.500
_cell_length_b 3.500
_cell_length_c 9.903
_cell_angle_alpha 102.93
_cell_angle_beta 102.93
_cell_angle_gamma 59.21
_space_group_name_H-M_alt 'P 1'
_space_group_IT_number 1
loop_
_space_group_symop_operation_xyz
'x,y,z'
loop_
_atom_site_label
_atom_site_type_symbol
_atom_site_fract_x
_atom_site_fract_y
_atom_site_fract_z
Sb1 Sb 0.144 0.144 0.262
Sb2 Sb 0.856 0.856 0.738
Se1 Se 0.000 0.000 0.500
N1 N 0.439 0.439 0.175
N2 N 0.561 0.561 0.825
```

Properties
total energy	-4.998	eV per atom
magnetic moment	0.00	μB/f.u.
crystal system	monoclinic

***

12.
Crystalline SbSeN3 at its relaxed geometry. Source: the Alexandria database, functional PBE-GGA.

```
data_SbSeN3
_chemical_formula_sum 'Sb1 Se1 N3'
_cell_length_a 3.836
_cell_length_b 3.836
_cell_length_c 3.836
_cell_angle_alpha 90.00
_cell_angle_beta 90.00
_cell_angle_gamma 90.00
_space_group_name_H-M_alt 'P 1'
_space_group_IT_number 1
loop_
_space_group_symop_operation_xyz
'x,y,z'
loop_
_atom_site_label
_atom_site_type_symbol
_atom_site_fract_x
_atom_site_fract_y
_atom_site_fract_z
Sb1 Sb 0.000 0.000 0.000
Se1 Se 0.500 0.500 0.500
N1 N 0.000 0.500 0.500
N2 N 0.500 0.000 0.500
N3 N 0.500 0.500 0.000
```

Properties
total energy	-4.853	eV per atom
magnetic moment	0.00	μB/f.u.
crystal system	cubic

***

Values for uncorrected formation energy, eV per atom, ordered as above
1.05, -0.99, -0.99, -1.08, 1.05, -0.91, 0.50, -0.09, 1.03, 1.29, 0.68, 1.66